# 1
Cs2Tl5Cd4 after structural relaxation. Source: the Alexandria database, functional PBE.

Computed properties:
magnetic moment	0.00	μB/f.u.
crystal system	monoclinic
energy relative to the elements	3	kJ/mol of formula units
E	-17.17	eV per cell

POSCAR file:
```
Cs2Tl5Cd4
1.0
-5.6493 4.5336 0.1654
-3.6333 1.0058 7.0277
1.8326 8.0012 1.9714
Tl Cs Cd
5 2 4
direct
0.0000 0.5000 0.5000
0.7312 0.1925 0.8557
0.2206 0.1925 0.8557
0.2688 0.8075 0.1443
0.7794 0.8075 0.1443
0.3069 0.7319 0.6544
0.6931 0.2681 0.3456
0.7659 0.5454 0.9228
0.7002 0.8936 0.7061
0.2998 0.1064 0.2939
0.2341 0.4546 0.0772
```

# 2
InTeBr after structural relaxation. Source: the Alexandria database, functional PBE.

Computed properties:
magnetic moment	0.00	μB/f.u.
crystal system	orthorhombic
ΔE_f (raw)	-1.54	kcal/mol of atoms
E	-7.75	eV per cell

POSCAR file:
```
InTeBr
1.0
-5.0352 1.1288 2.3034
-3.7641 -0.4542 -4.1902
3.7243 -2.7698 3.2235
Te Br In
1 1 1
direct
0.6807 0.6807 0.0000
0.9996 0.9996 0.0000
0.3197 0.3197 0.0000
```